1.
## CaTaCr2 (GGA-PBE)

Data for a relaxed structure of CaTaCr2.

The structure belongs to space group P4mm (No. 99); the cell edges are 2.9924, 2.9924 and 8.2405 Å and the angles 90.00°, 90.00° and 90.00°. Symmetry generates all atoms from Ca at (0.0000, 0.0000, 0.0000), Ta at (0.5000, 0.5000, 0.6596), Cr at (0.0000, 0.0000, 0.4466) and Cr at (0.5000, 0.5000, 0.2985).

As for the total DFT energy (no corrections): -7.772 eV/atom. Its offset from the most stable computed form is 1.1 kJ per mole of atoms.

---

2.
## CaTaCr2 (GGA-PBE)

Data for a relaxed structure of CaTaCr2.

The structure belongs to space group Cmmm (No. 65); the cell edges are 3.2506, 4.6823 and 9.0559 Å and the angles 90.00°, 90.00° and 90.00°. Symmetry generates all atoms from Ca at (0.0000, 0.0000, 0.0000), Ta at (0.0000, 0.0000, 0.5000) and Cr at (0.0000, 0.5000, 0.2816).

As for the total DFT energy (no corrections): -7.535 eV/atom. Its offset from the most stable computed form is 24.0 kJ per mole of atoms.

---

3.
## Ca2TaCr (GGA-PBE)

Data for a relaxed structure of Ca2TaCr.

The structure belongs to space group Cm (No. 8); the cell edges are 8.4116, 3.2386 and 8.1332 Å and the angles 90.00°, 94.72° and 90.00°. Symmetry generates all atoms from Ca at (0.0000, 0.0000, 0.0000), Ca at (0.2196, 0.0000, 0.6064), Ta at (0.2564, 0.5000, 0.2690) and Cr at (0.4871, 0.0000, 0.3350).

As for the total DFT energy (no corrections): -5.715 eV/atom. Its offset from the most stable computed form is 23.9 kJ per mole of atoms.

---

Number 1: energy of formation 48.51 kJ per mole of atoms. Number 2: energy of formation 71.41 kJ per mole of atoms. Number 3: energy of formation 63.13 kJ per mole of atoms.